First-principles (PBE) data for crystalline Tb6Te5C at its relaxed geometry, as listed in OQMD via LeMat-Bulk.

The structure in CIF format:
```
data_Tb6Te5C
_chemical_formula_sum 'Tb12 Te10 C2'
_cell_length_a 7.472
_cell_length_b 12.832
_cell_length_c 7.319
_cell_angle_alpha 90.00
_cell_angle_beta 109.38
_cell_angle_gamma 90.00
_symmetry_space_group_name_H-M 'C 1 2/m 1'
_symmetry_Int_Tables_number 12
_symmetry_space_group_name_Hall '-C 2y'
loop_
_atom_site_label
_atom_site_type_symbol
_atom_site_fract_x
_atom_site_fract_y
_atom_site_fract_z
_atom_site_occupancy
Tb1 Tb 0.204 0.000 0.274 1
Tb2 Tb 0.209 0.140 0.711 1
Te1 Te 0.000 0.181 0.000 1
Te2 Te 0.000 0.336 0.500 1
Te3 Te 0.000 0.500 0.000 1
C1 C 0.000 0.000 0.500 1
```

Output
DFT total energy = -0.4113 Ry/atom
total magnetic moment = 0.06 μB/cell
volume = 662.0 Å³/cell



First-principles (PBE) data for crystalline Tb2TeC2 at its relaxed geometry, as listed in OQMD via LeMat-Bulk.

The structure in CIF format:
```
data_Tb2TeC2
_chemical_formula_sum 'Tb8 Te4 C8'
_cell_length_a 14.198
_cell_length_b 4.161
_cell_length_c 7.054
_cell_angle_alpha 90.00
_cell_angle_beta 101.71
_cell_angle_gamma 90.00
_symmetry_space_group_name_H-M 'C 1 2/c 1'
_symmetry_Int_Tables_number 15
_symmetry_space_group_name_Hall '-C 2yc'
loop_
_atom_site_label
_atom_site_type_symbol
_atom_site_fract_x
_atom_site_fract_y
_atom_site_fract_z
_atom_site_occupancy
Tb1 Tb 0.153 0.180 0.140 1
Te1 Te 0.000 0.299 0.750 1
C1 C 0.230 0.373 0.536 1
```

Output
DFT total energy = -0.5074 Ry/atom
total magnetic moment = 0.00 μB/cell
volume = 408.1 Å³/cell



First-principles (PBE) data for crystalline Tb3TmTe2C2 at its relaxed geometry, as listed in OQMD via LeMat-Bulk.

The structure in CIF format:
```
data_Tb3TmTe2C2
_chemical_formula_sum 'Tb3 Tm1 Te2 C2'
_cell_length_a 3.8316
_cell_length_b 3.8316
_cell_length_c 14.0552
_cell_angle_alpha 90.00
_cell_angle_beta 90.00
_cell_angle_gamma 120.00
_symmetry_space_group_name_H-M 'P 3 m 1'
_symmetry_Int_Tables_number 156
_symmetry_space_group_name_Hall 'P 3 -2"'
loop_
_atom_site_label
_atom_site_type_symbol
_atom_site_fract_x
_atom_site_fract_y
_atom_site_fract_z
_atom_site_occupancy
Tb1 Tb 0.0000 0.0000 0.0000 1
Tb2 Tb 0.0000 0.0000 0.3151 1
Tb3 Tb 0.3333 0.6667 0.5040 1
Tm1 Tm 0.3333 0.6667 0.8154 1
Te1 Te 0.0000 0.0000 0.6625 1
Te2 Te 0.3333 0.6667 0.1575 1
C1 C 0.6667 0.3333 0.4096 1
C2 C 0.6667 0.3333 0.9059 1
```

Output
DFT total energy = -0.4596 Ry/atom
total magnetic moment = 0.00 μB/cell
volume = 178.7 Å³/cell



First-principles (PBE) data for crystalline TbY3Te2C2 at its relaxed geometry, as listed in OQMD via LeMat-Bulk.

The structure in CIF format:
```
data_TbY3Te2C2
_chemical_formula_sum 'Tb1 Y3 Te2 C2'
_cell_length_a 3.8453
_cell_length_b 3.8453
_cell_length_c 14.0646
_cell_angle_alpha 90.00
_cell_angle_beta 90.00
_cell_angle_gamma 120.00
_symmetry_space_group_name_H-M 'P 3 m 1'
_symmetry_Int_Tables_number 156
_symmetry_space_group_name_Hall 'P 3 -2"'
loop_
_atom_site_label
_atom_site_type_symbol
_atom_site_fract_x
_atom_site_fract_y
_atom_site_fract_z
_atom_site_occupancy
Tb1 Tb 0.0000 0.0000 0.0000 1
Y1 Y 0.0000 0.0000 0.3132 1
Y2 Y 0.3333 0.6667 0.5000 1
Y3 Y 0.3333 0.6667 0.8126 1
Te1 Te 0.0000 0.0000 0.6566 1
Te2 Te 0.3333 0.6667 0.1572 1
C1 C 0.6667 0.3333 0.4068 1
C2 C 0.6667 0.3333 0.9066 1
```

Output
DFT total energy = -0.5125 Ry/atom
total magnetic moment = 0.00 μB/cell
volume = 180.1 Å³/cell



First-principles (PBE) data for crystalline TbY3Te2C2 at its relaxed geometry, as listed in OQMD via LeMat-Bulk.

The structure in CIF format:
```
data_TbY3Te2C2
_chemical_formula_sum 'Tb1 Y3 Te2 C2'
_cell_length_a 3.8446
_cell_length_b 3.8446
_cell_length_c 14.0723
_cell_angle_alpha 90.00
_cell_angle_beta 90.00
_cell_angle_gamma 120.00
_symmetry_space_group_name_H-M 'P 3 m 1'
_symmetry_Int_Tables_number 156
_symmetry_space_group_name_Hall 'P 3 -2"'
loop_
_atom_site_label
_atom_site_type_symbol
_atom_site_fract_x
_atom_site_fract_y
_atom_site_fract_z
_atom_site_occupancy
Tb1 Tb 0.0000 0.0000 0.0000 1
Y1 Y 0.0000 0.0000 0.6868 1
Y2 Y 0.6667 0.3333 0.1870 1
Y3 Y 0.6667 0.3333 0.5000 1
Te1 Te 0.0000 0.0000 0.3434 1
Te2 Te 0.6667 0.3333 0.8432 1
C1 C 0.3333 0.6667 0.0934 1
C2 C 0.3333 0.6667 0.5934 1
```

Output
DFT total energy = -0.5125 Ry/atom
total magnetic moment = 0.00 μB/cell
volume = 180.1 Å³/cell



First-principles (PBE) data for crystalline Tb3YTe2C2 at its relaxed geometry, as listed in OQMD via LeMat-Bulk.

The structure in CIF format:
```
data_Tb3YTe2C2
_chemical_formula_sum 'Tb3 Y1 Te2 C2'
_cell_length_a 3.8509
_cell_length_b 3.8509
_cell_length_c 14.1071
_cell_angle_alpha 90.00
_cell_angle_beta 90.00
_cell_angle_gamma 120.00
_symmetry_space_group_name_H-M 'P 3 m 1'
_symmetry_Int_Tables_number 156
_symmetry_space_group_name_Hall 'P 3 -2"'
loop_
_atom_site_label
_atom_site_type_symbol
_atom_site_fract_x
_atom_site_fract_y
_atom_site_fract_z
_atom_site_occupancy
Tb1 Tb 0.0000 0.0000 0.0000 1
Tb2 Tb 0.0000 0.0000 0.3130 1
Tb3 Tb 0.3333 0.6667 0.5006 1
Y1 Y 0.3333 0.6667 0.8130 1
Te1 Te 0.0000 0.0000 0.6574 1
Te2 Te 0.3333 0.6667 0.1567 1
C1 C 0.6667 0.3333 0.4070 1
C2 C 0.6667 0.3333 0.9068 1
```

Output
DFT total energy = -0.4779 Ry/atom
total magnetic moment = 0.01 μB/cell
volume = 181.2 Å³/cell



First-principles (PBE) data for crystalline TbZrTeC at its relaxed geometry, as listed in OQMD via LeMat-Bulk.

The structure in CIF format:
```
data_TbZrTeC
_chemical_formula_sum 'Tb2 Zr2 Te2 C2'
_cell_length_a 3.6804
_cell_length_b 3.6804
_cell_length_c 13.8554
_cell_angle_alpha 90.00
_cell_angle_beta 90.00
_cell_angle_gamma 120.00
_symmetry_space_group_name_H-M 'P -3 m 1'
_symmetry_Int_Tables_number 164
_symmetry_space_group_name_Hall '-P 3 2"'
loop_
_atom_site_label
_atom_site_type_symbol
_atom_site_fract_x
_atom_site_fract_y
_atom_site_fract_z
_atom_site_occupancy
Tb1 Tb 0.3333 0.6667 0.0961 1
Zr1 Zr 0.3333 0.6667 0.4154 1
Te1 Te 0.3333 0.6667 0.7342 1
C1 C 0.0000 0.0000 0.0000 1
C2 C 0.0000 0.0000 0.5000 1
```

Output
offset from the most stable computed form = 5 meV per atom
DFT total energy = -0.5318 Ry/atom
total magnetic moment = 0.00 μB/cell
volume = 162.5 Å³/cell



First-principles (PBE) data for crystalline TbZrTeC at its relaxed geometry, as listed in OQMD via LeMat-Bulk.

The structure in CIF format:
```
data_TbZrTeC
_chemical_formula_sum 'Tb2 Zr2 Te2 C2'
_cell_length_a 3.6641
_cell_length_b 3.6641
_cell_length_c 13.8826
_cell_angle_alpha 90.00
_cell_angle_beta 90.00
_cell_angle_gamma 120.00
_symmetry_space_group_name_H-M 'P 63 m c'
_symmetry_Int_Tables_number 186
_symmetry_space_group_name_Hall 'P 6c -2c'
loop_
_atom_site_label
_atom_site_type_symbol
_atom_site_fract_x
_atom_site_fract_y
_atom_site_fract_z
_atom_site_occupancy
Tb1 Tb 0.3333 0.6667 0.0000 1
Zr1 Zr 0.3333 0.6667 0.6828 1
Te1 Te 0.3333 0.6667 0.3329 1
C1 C 0.0000 0.0000 0.1019 1
```

Output
offset from the most stable computed form = 0 meV per atom
DFT total energy = -0.5322 Ry/atom
total magnetic moment = 0.01 μB/cell
volume = 161.4 Å³/cell



> The lowest DFT total energy belongs to which entry?

number 8



> Look up the DFT total energy of the second one.

-0.5074 Ry/atom



> The highest volume belongs to which entry?

Tb6Te5C